Record 1
This record from Alexandria describes an optimized crystal structure of AlTl2Mo. The functional is PBE.

abc: 7.1142 7.1142 7.1142
angles: 90.00 90.00 90.00
Space group F-43m (No. 216)
One atom of each set of equivalent atoms:
Al: 0.0000 0.0000 0.0000 [4 per cell]
Tl: 0.0000 0.0000 0.5000 [4 per cell]
Tl: 0.2500 0.2500 0.7500 [4 per cell]
Mo: 0.2500 0.2500 0.2500 [4 per cell]

## Properties
- size of the total moment (μB per atom) = 0.6566
- relative energy among the computed polymorphs (kJ/mol of atoms) = 46.60
- E_tot (eV/atom) = -3.9566

***

Record 2
This record from Alexandria describes an optimized crystal structure of TlInOs2. The functional is PBE.

abc: 3.0622 5.1516 9.2012
angles: 90.00 90.00 90.00
Space group Cmmm (No. 65)
One atom of each set of equivalent atoms:
Tl: 0.0000 0.0000 0.0000 [2 per cell]
In: 0.0000 0.0000 0.5000 [2 per cell]
Os: 0.0000 0.5000 0.2557 [4 per cell]

## Properties
- size of the total moment (μB per atom) = 0.0001
- relative energy among the computed polymorphs (kJ/mol of atoms) = 54.75
- E_tot (eV/atom) = -5.9067

***

Record 3
This record from Alexandria describes an optimized crystal structure of Mg2ZrRe. The functional is PBE.

abc: 2.8079 4.3815 6.1969
angles: 90.00 90.00 90.00
Space group Pmm2 (No. 25)
One atom of each set of equivalent atoms:
Mg: 0.0000 0.0000 0.0000 [1 per cell]
Mg: 0.5000 0.5000 0.2432 [1 per cell]
Zr: 0.5000 0.5000 0.7100 [1 per cell]
Re: 0.0000 0.0000 0.4816 [1 per cell]

## Properties
- size of the total moment (μB per atom) = 0.0000
- relative energy among the computed polymorphs (kJ/mol of atoms) = 11.13
- E_tot (eV/atom) = -5.8292